Record 1
VASP calculation (meta-GGA SCAN) on YBiRu2O7 at its PBEsol-relaxed geometry.

extended XYZ file:
```
22
Lattice="-3.5770 3.6043 5.0896 3.5770 -3.6043 5.0896 3.5770 3.6043 -5.0896" Properties=species:S:1:pos:R:3 pbc="T T T"
Y 0.0000 0.0000 0.0000
Y 0.0000 3.6043 0.0000
Bi -1.7885 1.8022 2.5448
Bi 1.7885 1.8022 2.5448
Ru 1.7885 1.8022 -2.5448
Ru 1.7885 -1.8022 2.5448
Ru 3.5770 0.0000 0.0000
Ru 0.0000 0.0000 5.0896
O 2.1095 -0.3134 1.2771
O 5.0445 -0.3134 1.2771
O 3.5770 -1.8022 3.3963
O 3.5770 1.8022 0.8024
O 2.1095 3.2909 -1.2771
O 1.4675 -0.3134 3.8125
O 0.0000 1.8022 1.1773
O 3.5770 1.8022 3.9123
O 2.1095 3.9178 1.2771
O 1.4675 0.3134 6.3668
O 0.0000 1.8022 4.2872
O 0.0000 5.4065 1.6934
O -1.4675 3.9178 3.8125
O 1.4675 3.9178 3.8125
```

M_tot: 0.2 μB per cell
E_form (uncorrected): -1.836 eV per atom



Record 2
VASP calculation (meta-GGA SCAN) on CaLa2Cu at its PBEsol-relaxed geometry.

extended XYZ file:
```
4
Lattice="0.0000 3.7412 3.7412 3.7412 0.0000 3.7412 3.7412 3.7412 0.0000" Properties=species:S:1:pos:R:3 pbc="T T T"
Ca 0.0000 0.0000 0.0000
La 3.7412 3.7412 3.7412
La 5.6118 5.6118 5.6118
Cu 1.8706 1.8706 1.8706
```

M_tot: 1.0 μB per cell
Energy relative to the elements: 263 meV/atom
Energy relative to the lowest polymorph listed for this composition: 30.3 kJ/mol of atoms



Record 3
VASP calculation (meta-GGA SCAN) on Sr2ZrZn at its PBEsol-relaxed geometry.

extended XYZ file:
```
4
Lattice="0.0000 3.8227 3.8227 3.8227 0.0000 3.8227 3.8227 3.8227 0.0000" Properties=species:S:1:pos:R:3 pbc="T T T"
Sr 0.0000 0.0000 0.0000
Sr 1.9113 1.9113 1.9113
Zr 5.7340 5.7340 5.7340
Zn 3.8227 3.8227 3.8227
```

M_tot: 0.0 μB per cell
Energy relative to the elements: 545 meV/atom